# CsSc2Bi PBE-GGA relaxed
data_CsSc2Bi
_chemical_formula_sum 'Cs1 Sc2 Bi1'
_symmetry_space_group_name_H-M 'P 1'
_symmetry_Int_Tables_number 1
_cell_length_a 11.3276
_cell_length_b 11.3276
_cell_length_c 11.3276
_cell_angle_alpha 20.18
_cell_angle_beta 20.18
_cell_angle_gamma 20.18
loop_
_symmetry_equiv_pos_as_xyz
'x,y,z'
loop_
_atom_site_label
_atom_site_type_symbol
_atom_site_fract_x
_atom_site_fract_y
_atom_site_fract_z
Cs1 Cs 0.0000 0.0000 0.0000
Sc1 Sc 0.1113 0.1113 0.1113
Sc2 Sc 0.8887 0.8887 0.8887
Bi1 Bi 0.5000 0.5000 0.5000
# Energy, eV per atom: -4.15
# SG: R-3m, No. 166
# Formation energy, kJ per mole of atoms: 19.4
# Crystal system: trigonal

# InOs2Au PBE-GGA relaxed
data_InOs2Au
_chemical_formula_sum 'In1 Os2 Au1'
_symmetry_space_group_name_H-M 'P 1'
_symmetry_Int_Tables_number 1
_cell_length_a 2.8505
_cell_length_b 2.8505
_cell_length_c 9.8548
_cell_angle_alpha 90.00
_cell_angle_beta 90.00
_cell_angle_gamma 120.28
loop_
_symmetry_equiv_pos_as_xyz
'x,y,z'
loop_
_atom_site_label
_atom_site_type_symbol
_atom_site_fract_x
_atom_site_fract_y
_atom_site_fract_z
In1 In 0.0000 0.0000 0.0000
Os1 Os 0.0000 0.0000 0.5262
Os2 Os 0.5000 0.5000 0.7423
Au1 Au 0.5000 0.5000 0.2699
# Energy, eV per atom: -6.49
# SG: Cmm2, No. 35
# Formation energy, kJ per mole of atoms: 60.6
# Crystal system: orthorhombic

# PmGa5Ag2 PBE-GGA relaxed
data_PmGa5Ag2
_chemical_formula_sum 'Pm1 Ga5 Ag2'
_symmetry_space_group_name_H-M 'P 1'
_symmetry_Int_Tables_number 1
_cell_length_a 6.7963
_cell_length_b 6.7963
_cell_length_c 6.7963
_cell_angle_alpha 145.08
_cell_angle_beta 115.44
_cell_angle_gamma 75.55
loop_
_symmetry_equiv_pos_as_xyz
'x,y,z'
loop_
_atom_site_label
_atom_site_type_symbol
_atom_site_fract_x
_atom_site_fract_y
_atom_site_fract_z
Pm1 Pm 0.0000 0.0000 0.0000
Ga1 Ga 0.1801 0.3715 0.8086
Ga2 Ga 0.4372 0.6285 0.8086
Ga3 Ga 0.5000 0.0000 0.5000
Ga4 Ga 0.5628 0.3715 0.1914
Ga5 Ga 0.8199 0.6285 0.1914
Ag1 Ag 0.2469 0.7469 0.5000
Ag2 Ag 0.7531 0.2531 0.5000
# Energy, eV per atom: -3.40
# SG: Immm, No. 71
# Formation energy, kJ per mole of atoms: -19.3
# Crystal system: orthorhombic

# Ir3Pb PBE-GGA relaxed
data_Ir3Pb
_chemical_formula_sum 'Ir3 Pb1'
_symmetry_space_group_name_H-M 'P 1'
_symmetry_Int_Tables_number 1
_cell_length_a 2.8909
_cell_length_b 3.8325
_cell_length_c 6.2139
_cell_angle_alpha 90.00
_cell_angle_beta 90.00
_cell_angle_gamma 90.00
loop_
_symmetry_equiv_pos_as_xyz
'x,y,z'
loop_
_atom_site_label
_atom_site_type_symbol
_atom_site_fract_x
_atom_site_fract_y
_atom_site_fract_z
Ir1 Ir 0.0000 0.0000 0.0000
Ir2 Ir 0.5000 0.5000 0.2117
Ir3 Ir 0.5000 0.5000 0.7883
Pb1 Pb 0.0000 0.0000 0.5000
# Energy, eV per atom: -7.11
# SG: Pmmm, No. 47
# Formation energy, kJ per mole of atoms: 45.1
# Crystal system: orthorhombic

# ZnFe2Os PBE-GGA relaxed
data_ZnFe2Os
_chemical_formula_sum 'Zn1 Fe2 Os1'
_symmetry_space_group_name_H-M 'P 1'
_symmetry_Int_Tables_number 1
_cell_length_a 8.6122
_cell_length_b 8.6122
_cell_length_c 8.6122
_cell_angle_alpha 17.70
_cell_angle_beta 17.70
_cell_angle_gamma 17.70
loop_
_symmetry_equiv_pos_as_xyz
'x,y,z'
loop_
_atom_site_label
_atom_site_type_symbol
_atom_site_fract_x
_atom_site_fract_y
_atom_site_fract_z
Zn1 Zn 0.0000 0.0000 0.0000
Fe1 Fe 0.5829 0.5829 0.5829
Fe2 Fe 0.7505 0.7505 0.7505
Os1 Os 0.1665 0.1665 0.1665
# Energy, eV per atom: -7.24
# SG: R3m, No. 160
# Formation energy, kJ per mole of atoms: 11.2
# Crystal system: trigonal

# SmYSn PBE-GGA relaxed
data_SmYSn
_chemical_formula_sum 'Sm2 Y2 Sn2'
_symmetry_space_group_name_H-M 'P 1'
_symmetry_Int_Tables_number 1
_cell_length_a 4.5910
_cell_length_b 4.5910
_cell_length_c 8.5972
_cell_angle_alpha 90.00
_cell_angle_beta 90.00
_cell_angle_gamma 90.00
loop_
_symmetry_equiv_pos_as_xyz
'x,y,z'
loop_
_atom_site_label
_atom_site_type_symbol
_atom_site_fract_x
_atom_site_fract_y
_atom_site_fract_z
Sm1 Sm 0.2500 0.2500 0.1511
Sm2 Sm 0.7500 0.7500 0.8489
Y1 Y 0.2500 0.7500 0.5000
Y2 Y 0.7500 0.2500 0.5000
Sn1 Sn 0.2500 0.2500 0.7741
Sn2 Sn 0.7500 0.7500 0.2259
# Energy, eV per atom: -5.66
# SG: P4/nmm, No. 129
# Formation energy, kJ per mole of atoms: -57.9
# Crystal system: tetragonal

# MgBi4Pd15 PBE-GGA relaxed
data_MgBi4Pd15
_chemical_formula_sum 'Mg1 Bi4 Pd15'
_symmetry_space_group_name_H-M 'P 1'
_symmetry_Int_Tables_number 1
_cell_length_a 4.1092
_cell_length_b 4.1092
_cell_length_c 20.4636
_cell_angle_alpha 90.00
_cell_angle_beta 90.00
_cell_angle_gamma 90.00
loop_
_symmetry_equiv_pos_as_xyz
'x,y,z'
loop_
_atom_site_label
_atom_site_type_symbol
_atom_site_fract_x
_atom_site_fract_y
_atom_site_fract_z
Mg1 Mg 0.0000 0.0000 0.0000
Bi1 Bi 0.0000 0.0000 0.1896
Bi2 Bi 0.0000 0.0000 0.3972
Bi3 Bi 0.0000 0.0000 0.6028
Bi4 Bi 0.0000 0.0000 0.8104
Pd1 Pd 0.0000 0.5000 0.0940
Pd2 Pd 0.0000 0.5000 0.2971
Pd3 Pd 0.0000 0.5000 0.5000
Pd4 Pd 0.0000 0.5000 0.7029
Pd5 Pd 0.0000 0.5000 0.9060
Pd6 Pd 0.5000 0.0000 0.0940
Pd7 Pd 0.5000 0.0000 0.2971
Pd8 Pd 0.5000 0.0000 0.5000
Pd9 Pd 0.5000 0.0000 0.7029
Pd10 Pd 0.5000 0.0000 0.9060
Pd11 Pd 0.5000 0.5000 0.0000
Pd12 Pd 0.5000 0.5000 0.1992
Pd13 Pd 0.5000 0.5000 0.3992
Pd14 Pd 0.5000 0.5000 0.6008
Pd15 Pd 0.5000 0.5000 0.8008
# Energy, eV per atom: -5.05
# SG: P4/mmm, No. 123
# Formation energy, kJ per mole of atoms: -29.2
# Crystal system: tetragonal

# HfSiRh2 PBE-GGA relaxed
data_HfSiRh2
_chemical_formula_sum 'Hf8 Si8 Rh16'
_symmetry_space_group_name_H-M 'P 1'
_symmetry_Int_Tables_number 1
_cell_length_a 13.3489
_cell_length_b 7.0036
_cell_length_c 5.2826
_cell_angle_alpha 90.00
_cell_angle_beta 90.00
_cell_angle_gamma 90.00
loop_
_symmetry_equiv_pos_as_xyz
'x,y,z'
loop_
_atom_site_label
_atom_site_type_symbol
_atom_site_fract_x
_atom_site_fract_y
_atom_site_fract_z
Hf1 Hf 0.1151 0.2500 0.2198
Hf2 Hf 0.1336 0.7500 0.0059
Hf3 Hf 0.3664 0.2500 0.5059
Hf4 Hf 0.3849 0.7500 0.7198
Hf5 Hf 0.6151 0.2500 0.2802
Hf6 Hf 0.6336 0.7500 0.4941
Hf7 Hf 0.8664 0.2500 0.9941
Hf8 Hf 0.8849 0.7500 0.7802
Si1 Si 0.0678 0.7500 0.5137
Si2 Si 0.1801 0.2500 0.7263
Si3 Si 0.3199 0.7500 0.2263
Si4 Si 0.4322 0.2500 0.0137
Si5 Si 0.5678 0.7500 0.9863
Si6 Si 0.6801 0.2500 0.7737
Si7 Si 0.8199 0.7500 0.2737
Si8 Si 0.9322 0.2500 0.4863
Rh1 Rh 0.0331 0.0467 0.7553
Rh2 Rh 0.0331 0.4533 0.7553
Rh3 Rh 0.2161 0.5490 0.5023
Rh4 Rh 0.2161 0.9510 0.5023
Rh5 Rh 0.2839 0.0490 0.0023
Rh6 Rh 0.2839 0.4510 0.0023
Rh7 Rh 0.4669 0.5467 0.2553
Rh8 Rh 0.4669 0.9533 0.2553
Rh9 Rh 0.5331 0.0467 0.7447
Rh10 Rh 0.5331 0.4533 0.7447
Rh11 Rh 0.7161 0.5490 0.9977
Rh12 Rh 0.7161 0.9510 0.9977
Rh13 Rh 0.7839 0.0490 0.4977
Rh14 Rh 0.7839 0.4510 0.4977
Rh15 Rh 0.9669 0.5467 0.2447
Rh16 Rh 0.9669 0.9533 0.2447
# Energy, eV per atom: -8.51
# SG: Pnma, No. 62
# Crystal system: orthorhombic
# Uncorrected formation energy, eV/atom: -0.993

# MgCrRe2 PBE-GGA relaxed
data_MgCrRe2
_chemical_formula_sum 'Mg1 Cr1 Re2'
_symmetry_space_group_name_H-M 'P 1'
_symmetry_Int_Tables_number 1
_cell_length_a 3.7426
_cell_length_b 3.7426
_cell_length_c 4.3213
_cell_angle_alpha 90.00
_cell_angle_beta 90.00
_cell_angle_gamma 90.00
loop_
_symmetry_equiv_pos_as_xyz
'x,y,z'
loop_
_atom_site_label
_atom_site_type_symbol
_atom_site_fract_x
_atom_site_fract_y
_atom_site_fract_z
Mg1 Mg 0.0000 0.0000 0.0000
Cr1 Cr 0.5000 0.5000 0.0000
Re1 Re 0.0000 0.5000 0.5000
Re2 Re 0.5000 0.0000 0.5000
# Energy, eV per atom: -8.58
# SG: P4/mmm, No. 123
# Formation energy, kJ per mole of atoms: 43.3
# Crystal system: tetragonal

# AcPmCd2 PBE-GGA relaxed
data_AcPmCd2
_chemical_formula_sum 'Ac1 Pm1 Cd2'
_symmetry_space_group_name_H-M 'P 1'
_symmetry_Int_Tables_number 1
_cell_length_a 3.9358
_cell_length_b 3.9358
_cell_length_c 7.9865
_cell_angle_alpha 90.00
_cell_angle_beta 90.00
_cell_angle_gamma 90.00
loop_
_symmetry_equiv_pos_as_xyz
'x,y,z'
loop_
_atom_site_label
_atom_site_type_symbol
_atom_site_fract_x
_atom_site_fract_y
_atom_site_fract_z
Ac1 Ac 0.0000 0.0000 0.0000
Pm1 Pm 0.0000 0.0000 0.5000
Cd1 Cd 0.5000 0.5000 0.2766
Cd2 Cd 0.5000 0.5000 0.7234
# Energy, eV per atom: -2.97
# SG: P4/mmm, No. 123
# Formation energy, kJ per mole of atoms: -28.7
# Crystal system: tetragonal

# TiIn2BiC PBE-GGA relaxed
data_TiIn2BiC
_chemical_formula_sum 'Ti1 In2 Bi1 C1'
_symmetry_space_group_name_H-M 'P 1'
_symmetry_Int_Tables_number 1
_cell_length_a 5.9506
_cell_length_b 5.9506
_cell_length_c 3.9903
_cell_angle_alpha 90.00
_cell_angle_beta 90.00
_cell_angle_gamma 90.00
loop_
_symmetry_equiv_pos_as_xyz
'x,y,z'
loop_
_atom_site_label
_atom_site_type_symbol
_atom_site_fract_x
_atom_site_fract_y
_atom_site_fract_z
Ti1 Ti 0.0000 0.0000 0.0000
In1 In 0.0000 0.5000 0.0000
In2 In 0.5000 0.0000 0.0000
Bi1 Bi 0.5000 0.5000 0.5000
C1 C 0.0000 0.0000 0.5000
# Energy, eV per atom: -4.44
# SG: P4/mmm, No. 123
# Formation energy, kJ per mole of atoms: 82.1
# Crystal system: tetragonal

# InSiSb2Pb PBE-GGA relaxed
data_InSiSb2Pb
_chemical_formula_sum 'In1 Si1 Sb2 Pb1'
_symmetry_space_group_name_H-M 'P 1'
_symmetry_Int_Tables_number 1
_cell_length_a 5.8910
_cell_length_b 5.8910
_cell_length_c 5.2207
_cell_angle_alpha 90.00
_cell_angle_beta 90.00
_cell_angle_gamma 90.00
loop_
_symmetry_equiv_pos_as_xyz
'x,y,z'
loop_
_atom_site_label
_atom_site_type_symbol
_atom_site_fract_x
_atom_site_fract_y
_atom_site_fract_z
In1 In 0.0000 0.0000 0.0000
Si1 Si 0.5000 0.5000 0.0000
Sb1 Sb 0.0000 0.5000 0.5000
Sb2 Sb 0.5000 0.0000 0.5000
Pb1 Pb 0.5000 0.5000 0.5000
# Energy, eV per atom: -3.07
# SG: P4/mmm, No. 123
# Crystal system: tetragonal
# Uncorrected formation energy, eV/atom: 0.948

# La2MgRu PBE-GGA relaxed
data_La2MgRu
_chemical_formula_sum 'La8 Mg4 Ru4'
_symmetry_space_group_name_H-M 'P 1'
_symmetry_Int_Tables_number 1
_cell_length_a 6.1085
_cell_length_b 6.2884
_cell_length_c 13.3341
_cell_angle_alpha 90.00
_cell_angle_beta 115.88
_cell_angle_gamma 90.00
loop_
_symmetry_equiv_pos_as_xyz
'x,y,z'
loop_
_atom_site_label
_atom_site_type_symbol
_atom_site_fract_x
_atom_site_fract_y
_atom_site_fract_z
La1 La 0.0049 0.2205 0.4127
La2 La 0.0049 0.2795 0.9127
La3 La 0.3132 0.7147 0.3931
La4 La 0.3132 0.7853 0.8931
La5 La 0.6868 0.2147 0.1069
La6 La 0.6868 0.2853 0.6069
La7 La 0.9951 0.7205 0.0873
La8 La 0.9951 0.7795 0.5873
Mg1 Mg 0.3246 0.2376 0.7346
Mg2 Mg 0.3246 0.2624 0.2346
Mg3 Mg 0.6754 0.7376 0.7654
Mg4 Mg 0.6754 0.7624 0.2654
Ru1 Ru 0.3979 0.5298 0.0842
Ru2 Ru 0.3979 0.9702 0.5842
Ru3 Ru 0.6021 0.0298 0.4158
Ru4 Ru 0.6021 0.4702 0.9158
# Energy, eV per atom: -5.34
# SG: P2_1/c, No. 14
# Formation energy, kJ per mole of atoms: -15.3
# Crystal system: monoclinic

# TlCd2S2 PBE-GGA relaxed
data_TlCd2S2
_chemical_formula_sum 'Tl1 Cd2 S2'
_symmetry_space_group_name_H-M 'P 1'
_symmetry_Int_Tables_number 1
_cell_length_a 6.0222
_cell_length_b 6.0222
_cell_length_c 6.0222
_cell_angle_alpha 130.14
_cell_angle_beta 130.14
_cell_angle_gamma 73.18
loop_
_symmetry_equiv_pos_as_xyz
'x,y,z'
loop_
_atom_site_label
_atom_site_type_symbol
_atom_site_fract_x
_atom_site_fract_y
_atom_site_fract_z
Tl1 Tl 0.0000 0.0000 0.0000
Cd1 Cd 0.3491 0.3491 0.0000
Cd2 Cd 0.6509 0.6509 0.0000
S1 S 0.2500 0.7500 0.5000
S2 S 0.7500 0.2500 0.5000
# Energy, eV per atom: -2.73
# SG: I4/mmm, No. 139
# Crystal system: tetragonal
# Uncorrected formation energy, eV/atom: -0.236

# LiZr2Os4 PBE-GGA relaxed
data_LiZr2Os4
_chemical_formula_sum 'Li1 Zr2 Os4'
_symmetry_space_group_name_H-M 'P 1'
_symmetry_Int_Tables_number 1
_cell_length_a 7.3058
_cell_length_b 7.3058
_cell_length_c 7.3058
_cell_angle_alpha 146.60
_cell_angle_beta 146.60
_cell_angle_gamma 47.96
loop_
_symmetry_equiv_pos_as_xyz
'x,y,z'
loop_
_atom_site_label
_atom_site_type_symbol
_atom_site_fract_x
_atom_site_fract_y
_atom_site_fract_z
Li1 Li 0.0000 0.0000 0.0000
Zr1 Zr 0.3625 0.3625 0.0000
Zr2 Zr 0.6375 0.6375 0.0000
Os1 Os 0.0000 0.5000 0.5000
Os2 Os 0.1608 0.1608 0.0000
Os3 Os 0.5000 0.0000 0.5000
Os4 Os 0.8392 0.8392 0.0000
# Energy, eV per atom: -8.47
# SG: I4/mmm, No. 139
# Formation energy, kJ per mole of atoms: 63.7
# Crystal system: tetragonal

# PmGa2CuPd5 PBE-GGA relaxed
data_PmGa2CuPd5
_chemical_formula_sum 'Pm1 Ga2 Cu1 Pd5'
_symmetry_space_group_name_H-M 'P 1'
_symmetry_Int_Tables_number 1
_cell_length_a 4.7276
_cell_length_b 4.7276
_cell_length_c 7.2609
_cell_angle_alpha 90.00
_cell_angle_beta 90.00
_cell_angle_gamma 90.00
loop_
_symmetry_equiv_pos_as_xyz
'x,y,z'
loop_
_atom_site_label
_atom_site_type_symbol
_atom_site_fract_x
_atom_site_fract_y
_atom_site_fract_z
Pm1 Pm 0.0000 0.0000 0.0000
Ga1 Ga 0.5000 0.5000 0.3377
Ga2 Ga 0.5000 0.5000 0.6623
Cu1 Cu 0.0000 0.0000 0.5000
Pd1 Pd 0.0000 0.5000 0.2747
Pd2 Pd 0.0000 0.5000 0.7253
Pd3 Pd 0.5000 0.0000 0.2747
Pd4 Pd 0.5000 0.0000 0.7253
Pd5 Pd 0.5000 0.5000 0.0000
# Energy, eV per atom: -4.90
# SG: P4/mmm, No. 123
# Formation energy, kJ per mole of atoms: -34.9
# Crystal system: tetragonal

# BaMg2BePt PBE-GGA relaxed
data_BaMg2BePt
_chemical_formula_sum 'Ba1 Mg2 Be1 Pt1'
_symmetry_space_group_name_H-M 'P 1'
_symmetry_Int_Tables_number 1
_cell_length_a 5.1474
_cell_length_b 5.1474
_cell_length_c 4.5683
_cell_angle_alpha 90.00
_cell_angle_beta 90.00
_cell_angle_gamma 90.00
loop_
_symmetry_equiv_pos_as_xyz
'x,y,z'
loop_
_atom_site_label
_atom_site_type_symbol
_atom_site_fract_x
_atom_site_fract_y
_atom_site_fract_z
Ba1 Ba 0.0000 0.0000 0.0000
Mg1 Mg 0.0000 0.5000 0.5000
Mg2 Mg 0.5000 0.0000 0.5000
Be1 Be 0.5000 0.5000 0.0000
Pt1 Pt 0.5000 0.5000 0.5000
# Energy, eV per atom: -3.27
# SG: P4/mmm, No. 123
# Formation energy, kJ per mole of atoms: -28.3
# Crystal system: tetragonal